Entry 1:
A relaxed CoP2Pt crystal, computed with PBE.

formation energy from the elements: 0.420 eV/atom
total moment: 0.301 μB per atom
Fermi-level density of states: 13.7 states/eV per cell
energy: -5.572 eV per atom
energy above the most stable polymorph in this dataset: 818.5 meV/atom

Structure (CIF):
```
data_CoP2Pt
_chemical_formula_sum 'Co4 P8 Pt4'
_cell_length_a 6.037
_cell_length_b 6.037
_cell_length_c 6.037
_cell_angle_alpha 90.00
_cell_angle_beta 90.00
_cell_angle_gamma 90.00
_symmetry_space_group_name_H-M 'F -4 3 m'
_symmetry_Int_Tables_number 216
_symmetry_space_group_name_Hall 'F -4 2 3'
loop_
_atom_site_label
_atom_site_type_symbol
_atom_site_fract_x
_atom_site_fract_y
_atom_site_fract_z
Co1 Co 0.000 0.000 0.000
P1 P 0.000 0.000 0.500
P2 P 0.250 0.250 0.250
Pt1 Pt 0.250 0.250 0.750
```

Entry 2:
A relaxed LiBe2C crystal, computed with PBE.

formation energy from the elements: 0.396 eV/atom
total moment: 0.212 μB per atom
Fermi-level density of states: 7.3 states/eV per cell
energy: -4.252 eV per atom

Structure (CIF):
```
data_LiBe2C
_chemical_formula_sum 'Li4 Be8 C4'
_cell_length_a 5.404
_cell_length_b 5.404
_cell_length_c 7.678
_cell_angle_alpha 90.00
_cell_angle_beta 90.00
_cell_angle_gamma 90.00
_symmetry_space_group_name_H-M 'I 41/a m d'
_symmetry_Int_Tables_number 141
loop_
_symmetry_equiv_pos_as_xyz
'x,y,z'
'-x,-y,-z'
'-y+1/4,x+3/4,z+1/4'
'y+1/4,-x+3/4,-z+1/4'
'-x+1/2,-y,z+1/2'
'x+1/2,y,-z+1/2'
'y+1/4,-x+1/4,z+3/4'
'-y+1/4,x+1/4,-z+3/4'
'x,-y,-z'
'-x,y,z'
'-y+1/4,-x+1/4,-z+3/4'
'y+1/4,x+1/4,z+3/4'
'-x+1/2,y,-z+1/2'
'x+1/2,-y,z+1/2'
'y+1/4,x+3/4,-z+1/4'
'-y+1/4,-x+3/4,z+1/4'
'x+1/2,y+1/2,z+1/2'
'-x+1/2,-y+1/2,-z+1/2'
'-y+3/4,x+1/4,z+3/4'
'y+3/4,-x+1/4,-z+3/4'
'-x,-y+1/2,z'
'x,y+1/2,-z'
'y+3/4,-x+3/4,z+1/4'
'-y+3/4,x+3/4,-z+1/4'
'x+1/2,-y+1/2,-z+1/2'
'-x+1/2,y+1/2,z+1/2'
'-y+3/4,-x+3/4,-z+1/4'
'y+3/4,x+3/4,z+1/4'
'-x,y+1/2,-z'
'x,-y+1/2,z'
'y+3/4,x+1/4,-z+3/4'
'-y+3/4,-x+1/4,z+3/4'
loop_
_atom_site_label
_atom_site_type_symbol
_atom_site_fract_x
_atom_site_fract_y
_atom_site_fract_z
Li1 Li 0.000 0.250 0.375
Be1 Be 0.000 0.000 0.000
C1 C 0.000 0.250 0.875
```

Entry 3:
A relaxed Ni2PtSe4 crystal, computed with PBE.

total moment: 0.000 μB per atom
Fermi-level density of states: 12.3 states/eV per cell
energy: -4.787 eV per atom

Structure (CIF):
```
data_Ni2PtSe4
_chemical_formula_sum 'Ni8 Pt4 Se16'
_cell_length_a 12.516
_cell_length_b 7.224
_cell_length_c 7.231
_cell_angle_alpha 90.00
_cell_angle_beta 125.16
_cell_angle_gamma 90.00
_symmetry_space_group_name_H-M 'C 1 2/m 1'
_symmetry_Int_Tables_number 12
_symmetry_space_group_name_Hall '-C 2y'
loop_
_atom_site_label
_atom_site_type_symbol
_atom_site_fract_x
_atom_site_fract_y
_atom_site_fract_z
Ni1 Ni 0.000 0.000 0.000
Ni2 Ni 0.000 0.000 0.500
Ni3 Ni 0.250 0.250 0.000
Pt1 Pt 0.125 0.500 0.375
Se1 Se 0.014 0.223 0.764
Se2 Se 0.236 0.000 0.209
Se3 Se 0.236 0.000 0.763
```

Entry 4:
A relaxed BaCdIn2Ag5 crystal, computed with PBE.

formation energy from the elements: 0.049 eV/atom
total moment: 0.000 μB per atom
Fermi-level density of states: 2.1 states/eV per cell
energy: -2.459 eV per atom

Structure (CIF):
```
data_BaCdIn2Ag5
_chemical_formula_sum 'Ba1 Cd1 In2 Ag5'
_cell_length_a 5.449
_cell_length_b 5.449
_cell_length_c 8.060
_cell_angle_alpha 90.00
_cell_angle_beta 90.00
_cell_angle_gamma 90.00
_symmetry_space_group_name_H-M 'P 4/m m m'
_symmetry_Int_Tables_number 123
_symmetry_space_group_name_Hall '-P 4 2'
loop_
_atom_site_label
_atom_site_type_symbol
_atom_site_fract_x
_atom_site_fract_y
_atom_site_fract_z
Ba1 Ba 0.000 0.000 0.000
Cd1 Cd 0.000 0.000 0.500
In1 In 0.500 0.500 0.327
Ag1 Ag 0.000 0.500 0.311
Ag2 Ag 0.500 0.500 0.000
```

Entry 5:
A relaxed RbCdHgBr2 crystal, computed with PBE.

total moment: 0.000 μB per atom
Fermi-level density of states: 1.7 states/eV per cell
energy: -1.903 eV per atom

Structure (CIF):
```
data_RbCdHgBr2
_chemical_formula_sum 'Rb1 Cd1 Hg1 Br2'
_cell_length_a 5.966
_cell_length_b 5.966
_cell_length_c 5.529
_cell_angle_alpha 90.00
_cell_angle_beta 90.00
_cell_angle_gamma 90.00
_symmetry_space_group_name_H-M 'P 4/m m m'
_symmetry_Int_Tables_number 123
_symmetry_space_group_name_Hall '-P 4 2'
loop_
_atom_site_label
_atom_site_type_symbol
_atom_site_fract_x
_atom_site_fract_y
_atom_site_fract_z
Rb1 Rb 0.000 0.000 0.000
Cd1 Cd 0.500 0.500 0.500
Hg1 Hg 0.500 0.500 0.000
Br1 Br 0.000 0.500 0.500
```

Entry 6:
A relaxed TaTcSb2O crystal, computed with PBE.

total moment: 0.299 μB per atom
Fermi-level density of states: 4.4 states/eV per cell
energy: -6.818 eV per atom

Structure (CIF):
```
data_TaTcSb2O
_chemical_formula_sum 'Ta1 Tc1 Sb2 O1'
_cell_length_a 5.364
_cell_length_b 5.364
_cell_length_c 3.622
_cell_angle_alpha 90.00
_cell_angle_beta 90.00
_cell_angle_gamma 90.00
_symmetry_space_group_name_H-M 'P 4/m m m'
_symmetry_Int_Tables_number 123
_symmetry_space_group_name_Hall '-P 4 2'
loop_
_atom_site_label
_atom_site_type_symbol
_atom_site_fract_x
_atom_site_fract_y
_atom_site_fract_z
Ta1 Ta 0.000 0.000 0.000
Tc1 Tc 0.500 0.500 0.500
Sb1 Sb 0.000 0.500 0.500
O1 O 0.500 0.500 0.000
```

Entry 7:
A relaxed La2Al2Os crystal, computed with PBE.

formation energy from the elements: 0.034 eV/atom
total moment: 0.000 μB per atom
Fermi-level density of states: 6.5 states/eV per cell
energy: -5.680 eV per atom
energy above the most stable polymorph in this dataset: 177.0 meV/atom

Structure (CIF):
```
data_La2Al2Os
_chemical_formula_sum 'La4 Al4 Os2'
_cell_length_a 3.640
_cell_length_b 3.640
_cell_length_c 18.860
_cell_angle_alpha 90.00
_cell_angle_beta 90.00
_cell_angle_gamma 90.00
_symmetry_space_group_name_H-M 'I 4/m m m'
_symmetry_Int_Tables_number 139
_symmetry_space_group_name_Hall '-I 4 2'
loop_
_atom_site_label
_atom_site_type_symbol
_atom_site_fract_x
_atom_site_fract_y
_atom_site_fract_z
La1 La 0.000 0.000 0.092
Al1 Al 0.000 0.500 0.250
Os1 Os 0.000 0.000 0.500
```

Entry 8:
A relaxed Mo2RhWN crystal, computed with PBE.

total moment: 0.000 μB per atom
Fermi-level density of states: 5.5 states/eV per cell
energy: -10.187 eV per atom

Structure (CIF):
```
data_Mo2RhWN
_chemical_formula_sum 'Mo2 Rh1 W1 N1'
_cell_length_a 4.099
_cell_length_b 4.099
_cell_length_c 4.103
_cell_angle_alpha 90.00
_cell_angle_beta 90.00
_cell_angle_gamma 90.00
_symmetry_space_group_name_H-M 'P 4/m m m'
_symmetry_Int_Tables_number 123
_symmetry_space_group_name_Hall '-P 4 2'
loop_
_atom_site_label
_atom_site_type_symbol
_atom_site_fract_x
_atom_site_fract_y
_atom_site_fract_z
Mo1 Mo 0.000 0.500 0.000
Rh1 Rh 0.000 0.000 0.500
W1 W 0.500 0.500 0.500
N1 N 0.500 0.500 0.000
```

Entry 9:
A relaxed HoEr2Au crystal, computed with PBE.

formation energy from the elements: -0.405 eV/atom
total moment: 0.000 μB per atom
Fermi-level density of states: 5.2 states/eV per cell
energy: -4.650 eV per atom
energy above the most stable polymorph in this dataset: 54.0 meV/atom

Structure (CIF):
```
data_HoEr2Au
_chemical_formula_sum 'Ho1 Er2 Au1'
_cell_length_a 3.539
_cell_length_b 3.539
_cell_length_c 8.687
_cell_angle_alpha 90.00
_cell_angle_beta 90.00
_cell_angle_gamma 90.00
_symmetry_space_group_name_H-M 'P 4/m m m'
_symmetry_Int_Tables_number 123
_symmetry_space_group_name_Hall '-P 4 2'
loop_
_atom_site_label
_atom_site_type_symbol
_atom_site_fract_x
_atom_site_fract_y
_atom_site_fract_z
Ho1 Ho 0.000 0.000 0.000
Er1 Er 0.500 0.500 0.293
Au1 Au 0.000 0.000 0.500
```

Entry 10:
A relaxed Nd3Zn9Hg2 crystal, computed with PBE.

formation energy from the elements: -0.312 eV/atom
total moment: 0.000 μB per atom
Fermi-level density of states: 14.2 states/eV per cell
energy: -2.196 eV per atom

Structure (CIF):
```
data_Nd3Zn9Hg2
_chemical_formula_sum 'Nd6 Zn18 Hg4'
_cell_length_a 4.541
_cell_length_b 9.031
_cell_length_c 13.679
_cell_angle_alpha 90.00
_cell_angle_beta 90.00
_cell_angle_gamma 90.00
_symmetry_space_group_name_H-M 'I m m m'
_symmetry_Int_Tables_number 71
_symmetry_space_group_name_Hall '-I 2 2'
loop_
_atom_site_label
_atom_site_type_symbol
_atom_site_fract_x
_atom_site_fract_y
_atom_site_fract_z
Nd1 Nd 0.000 0.000 0.000
Nd2 Nd 0.000 0.000 0.298
Zn1 Zn 0.000 0.276 0.145
Zn2 Zn 0.000 0.363 0.335
Zn3 Zn 0.000 0.500 0.000
Hg1 Hg 0.000 0.195 0.500
```

Entry 11:
A relaxed DyHo14Th crystal, computed with PBE.

formation energy from the elements: 0.012 eV/atom
total moment: 0.000 μB per atom
Fermi-level density of states: 40.8 states/eV per cell
energy: -4.745 eV per atom

Structure (CIF):
```
data_DyHo14Th
_chemical_formula_sum 'Dy2 Ho28 Th2'
_cell_length_a 11.428
_cell_length_b 7.093
_cell_length_c 12.282
_cell_angle_alpha 90.00
_cell_angle_beta 90.00
_cell_angle_gamma 90.00
_symmetry_space_group_name_H-M 'A m m 2'
_symmetry_Int_Tables_number 38
_symmetry_space_group_name_Hall 'A 2 -2'
loop_
_atom_site_label
_atom_site_type_symbol
_atom_site_fract_x
_atom_site_fract_y
_atom_site_fract_z
Dy1 Dy 0.000 0.000 0.000
Ho1 Ho 0.000 0.250 0.250
Ho2 Ho 0.250 0.000 0.665
Ho3 Ho 0.251 0.000 0.167
Ho4 Ho 0.251 0.248 0.417
Ho5 Ho 0.500 0.000 0.333
Ho6 Ho 0.500 0.000 0.833
Ho7 Ho 0.500 0.249 0.084
Th1 Th 0.000 0.000 0.500
```

Entry 12:
A relaxed KGa2AgCl8 crystal, computed with PBE.

total moment: 0.000 μB per atom
Fermi-level density of states: 0.0 states/eV per cell
energy: -3.253 eV per atom

Structure (CIF):
```
data_KGa2AgCl8
_chemical_formula_sum 'K3 Ga6 Ag3 Cl24'
_cell_length_a 6.4962
_cell_length_b 6.4962
_cell_length_c 28.2916
_cell_angle_alpha 90.00
_cell_angle_beta 90.00
_cell_angle_gamma 120.00
_symmetry_space_group_name_H-M 'R -3'
_symmetry_Int_Tables_number 148
_symmetry_space_group_name_Hall '-R 3'
loop_
_atom_site_label
_atom_site_type_symbol
_atom_site_fract_x
_atom_site_fract_y
_atom_site_fract_z
K1 K 0.0000 0.0000 0.0000
Ga1 Ga 0.0000 0.0000 0.2495
Ag1 Ag 0.0000 0.0000 0.5000
Cl1 Cl 0.0000 0.0000 0.3273
Cl2 Cl 0.0024 0.3497 0.4408
```